Computed, not measured: LiMg2Cr after structural relaxation at the PBE level of DFT.

Output
Formation energy from the elements ... 0.309 eV per atom
Spin magnetization ... 4.20 μB per formula unit

Lattice parameters (Å, degrees): 3.0208 4.3854 5.9949 90.00 90.00 90.00
Element x y z (fractional)
Li  0.0000  0.0000  0.0000
Mg  0.0000  0.0000  0.5276
Mg  0.5000  0.5000  0.2467
Cr  0.5000  0.5000  0.7535